1.
Density functional theory data (PBE) for crystalline YMnHg at its relaxed geometry.

a b c (Å): 3.7676 4.6954 8.0930
angles (deg): 83.21 90.05 66.13
With the nearest neighbours (Å) after each atom.
Fractional coordinates of all 6 atoms:
Y: 0.0236 0.9536 0.2061  6 Mn 2.89-3.21, 3 Hg 3.02-3.05
Y: 0.9764 0.0464 0.7939  6 Mn 2.89-3.21, 3 Hg 3.02-3.05
Mn: 0.6921 0.6162 0.9723  2 Mn 2.15-2.16
Mn: 0.3079 0.3838 0.0277  2 Mn 2.15-2.16
Hg: 0.3433 0.3135 0.4100  3 Hg 2.89-2.98, 3 Y 3.02-3.05, 1 Mn 3.07
Hg: 0.6567 0.6865 0.5900  3 Hg 2.89-2.98, 3 Y 3.02-3.05, 1 Mn 3.07

Results
The value obtained for the raw total energy is -5.306 eV/atom.


2.
Density functional theory data (PBE) for crystalline YMnHg2 at its relaxed geometry.

a b c (Å): 4.9115 4.9115 5.7349
angles (deg): 74.65 74.65 45.03
With the nearest neighbours (Å) after each atom.
Fractional coordinates of all 4 atoms:
Hg: 0.0123 0.0123 0.9601  3 Mn 2.86-2.96, 3 Y 3.08-3.11, 2 Hg 3.12
Hg: 0.4877 0.4877 0.5399  3 Mn 2.86-2.96, 3 Y 3.08-3.11, 2 Hg 3.12
Mn: 0.7500 0.7500 0.7500  6 Hg 2.86-2.96
Y: 0.2500 0.2500 0.2500  6 Hg 3.08-3.11, 4 Mn 3.43

Results
The value obtained for the raw total energy is -4.098 eV/atom.


3.
Density functional theory data (PBE) for crystalline YMnHg at its relaxed geometry.

a b c (Å): 4.8730 4.8730 4.8730
angles (deg): 60.00 60.00 60.00
With the nearest neighbours (Å) after each atom.
Fractional coordinates of all 3 atoms:
Hg: 0.0000 0.0000 0.0000  4 Y 2.98
Mn: 0.5000 0.5000 0.5000  4 Y 2.98
Y: 0.7500 0.7500 0.7500  4 Hg 2.98, 4 Mn 2.98

Results
The value obtained for the raw total energy is -4.775 eV/atom.


4.
Density functional theory data (PBE) for crystalline Y2MnHg at its relaxed geometry.

a b c (Å): 7.7769 7.7769 6.3095
angles (deg): 51.95 51.95 90.00
With the nearest neighbours (Å) after each atom.
Fractional coordinates of all 8 atoms:
Y: 0.5810 0.1250 0.2500  2 Mn 2.64
Y: 0.1690 0.6250 0.2500  2 Mn 2.64
Y: 0.3750 0.4190 0.7500  2 Mn 2.64
Y: 0.8750 0.8310 0.7500  2 Mn 2.64
Mn: 0.5000 0.5000 0.0000  4 Y 2.64
Mn: 0.2500 0.7500 0.5000  4 Y 2.64
Hg: 0.0000 0.0000 0.0000  2 Mn 3.09, 8 Y 3.10-3.42
Hg: 0.7500 0.2500 0.5000  2 Mn 3.09, 8 Y 3.10-3.42

Results
The value obtained for the raw total energy is -5.189 eV/atom.


5.
Density functional theory data (PBE) for crystalline YMnHg2 at its relaxed geometry.

a b c (Å): 7.8830 4.8643 3.8671
angles (deg): 90.06 60.53 127.93
With the nearest neighbours (Å) after each atom.
Fractional coordinates of all 4 atoms:
Hg: 0.0000 0.0000 0.0000  4 Mn 3.11, 4 Y 3.11, 4 Hg 3.43-3.45
Hg: 0.5000 0.0000 0.5000  4 Y 3.11, 4 Mn 3.11, 4 Hg 3.43-3.45
Mn: 0.0000 0.5000 0.5000  8 Hg 3.11, 4 Y 3.43-3.45
Y: 0.5000 0.5000 0.0000  8 Hg 3.11, 4 Mn 3.43-3.45

Results
The value obtained for the raw total energy is -4.098 eV/atom.


6.
Density functional theory data (PBE) for crystalline YMnHg at its relaxed geometry.

a b c (Å): 4.8145 4.8145 4.8145
angles (deg): 60.00 60.00 60.00
With the nearest neighbours (Å) after each atom.
Fractional coordinates of all 3 atoms:
Hg: 0.7500 0.7500 0.7500  4 Mn 2.95, 4 Y 2.95
Mn: 0.0000 0.0000 0.0000  4 Hg 2.95
Y: 0.5000 0.5000 0.5000  4 Hg 2.95

Results
The value obtained for the raw total energy is -5.107 eV/atom.


7.
Density functional theory data (PBE) for crystalline YMnHg3 at its relaxed geometry.

a b c (Å): 5.0495 5.0495 5.0495
angles (deg): 90.00 90.00 90.00
With the nearest neighbours (Å) after each atom.
Fractional coordinates of all 5 atoms:
Y: 0.5000 0.5000 0.5000  12 Hg 3.57
Mn: 0.0000 0.0000 0.0000  6 Hg 2.52
Hg: 0.0000 0.5000 0.0000  2 Mn 2.52
Hg: 0.0000 0.0000 0.5000  2 Mn 2.52
Hg: 0.5000 0.0000 0.0000  2 Mn 2.52

Results
The value obtained for the raw total energy is -3.074 eV/atom.


8.
Density functional theory data (PBE) for crystalline YMnHg2 at its relaxed geometry.

a b c (Å): 3.6329 3.6329 6.7903
angles (deg): 90.00 90.00 90.00
With the nearest neighbours (Å) after each atom.
Fractional coordinates of all 4 atoms:
Hg: 0.0000 0.0000 0.0091  4 Hg 3.14, 4 Y 3.15, 1 Mn 3.16
Hg: 0.5000 0.5000 0.2753  4 Mn 2.90, 4 Hg 3.14, 1 Y 3.16
Mn: 0.0000 0.0000 0.4751  5 Hg 2.90-3.16, 4 Y 3.14
Y: 0.5000 0.5000 0.7405  4 Mn 3.14, 5 Hg 3.15-3.16

Results
The value obtained for the raw total energy is -4.080 eV/atom.


9.
Density functional theory data (PBE) for crystalline YMnHg2 at its relaxed geometry.

a b c (Å): 4.8581 3.4222 5.6481
angles (deg): 89.78 90.00 90.00
With the nearest neighbours (Å) after each atom.
Fractional coordinates of all 4 atoms:
Hg: 0.0000 0.2480 0.9804  2 Mn 2.75-2.90, 2 Hg 2.94
Hg: 0.5000 0.2495 0.2725  2 Mn 2.73, 2 Hg 2.94
Mn: 0.0000 0.2528 0.4935  4 Hg 2.73-2.90
Y: 0.5000 0.7497 0.7536  8 Hg 3.21-3.40, 4 Mn 3.31-3.32, 2 Y 3.42

Results
The value obtained for the raw total energy is -4.068 eV/atom.


10.
Density functional theory data (PBE) for crystalline Y2Mn2Hg at its relaxed geometry.

a b c (Å): 6.9273 6.9273 4.2923
angles (deg): 90.00 90.00 90.00
With the nearest neighbours (Å) after each atom.
Fractional coordinates of all 10 atoms:
Y: 0.1830 0.6830 0.5000  6 Mn 2.97-3.00, 4 Hg 3.32
Y: 0.6830 0.8170 0.5000  6 Mn 2.97-3.00, 4 Hg 3.32
Y: 0.8170 0.3170 0.5000  6 Mn 2.97-3.00, 4 Hg 3.32
Y: 0.3170 0.1830 0.5000  6 Mn 2.97-3.00, 4 Hg 3.32
Mn: 0.3968 0.8968 0.0000  1 Mn 2.02
Mn: 0.8968 0.6032 0.0000  1 Mn 2.02
Mn: 0.6032 0.1032 0.0000  1 Mn 2.02
Mn: 0.1032 0.3968 0.0000  1 Mn 2.02
Hg: 0.0000 0.0000 0.0000  4 Mn 2.84
Hg: 0.5000 0.5000 0.0000  4 Mn 2.84

Results
The value obtained for the raw total energy is -6.291 eV/atom.


11.
Density functional theory data (PBE) for crystalline YMnHg at its relaxed geometry.

a b c (Å): 5.7519 4.4748 10.4150
angles (deg): 90.00 92.70 90.00
With the nearest neighbours (Å) after each atom.
Fractional coordinates of all 12 atoms:
Y: 0.1808 0.0000 0.9458  4 Mn 3.01-3.24, 5 Hg 3.09-3.36
Y: 0.1808 0.5000 0.4458  4 Mn 3.01-3.24, 5 Hg 3.09-3.36
Y: 0.6798 0.0000 0.3557  5 Hg 3.06-3.39, 4 Mn 3.07-3.14
Y: 0.6798 0.5000 0.8557  5 Hg 3.06-3.39, 4 Mn 3.07-3.14
Mn: 0.7086 0.0000 0.0579  2 Mn 2.70, 2 Hg 2.80, 1 Y 3.01
Mn: 0.7086 0.5000 0.5579  2 Mn 2.70, 2 Hg 2.80, 1 Y 3.01
Mn: 0.9480 0.0000 0.6250  2 Mn 2.70, 4 Hg 2.80-2.94
Mn: 0.9480 0.5000 0.1250  2 Mn 2.70, 4 Hg 2.80-2.94
Hg: 0.1607 0.0000 0.2414  2 Mn 2.80, 2 Hg 3.05, 4 Y 3.06-3.09
Hg: 0.1607 0.5000 0.7414  2 Mn 2.80, 2 Hg 3.05, 4 Y 3.06-3.09
Hg: 0.4605 0.0000 0.6381  4 Mn 2.80-2.94, 2 Hg 3.05
Hg: 0.4605 0.5000 0.1381  4 Mn 2.80-2.94, 2 Hg 3.05

Results
The value obtained for the raw total energy is -5.365 eV/atom.


12.
Density functional theory data (PBE) for crystalline YMnHg2 at its relaxed geometry.

a b c (Å): 8.7218 8.7218 8.7218
angles (deg): 24.04 24.04 24.04
With the nearest neighbours (Å) after each atom.
Fractional coordinates of all 4 atoms:
Hg: 0.9914 0.9914 0.9914  3 Mn 2.83, 3 Y 3.14
Hg: 0.5086 0.5086 0.5086  3 Mn 2.83, 3 Y 3.14
Mn: 0.2500 0.2500 0.2500  6 Hg 2.83
Y: 0.7500 0.7500 0.7500  6 Hg 3.14

Results
The value obtained for the raw total energy is -4.003 eV/atom.


13.
Density functional theory data (PBE) for crystalline Y2MnHg at its relaxed geometry.

a b c (Å): 3.6993 4.2405 6.4442
angles (deg): 90.00 90.00 90.00
With the nearest neighbours (Å) after each atom.
Fractional coordinates of all 4 atoms:
Hg: 0.0000 0.0000 0.4919  5 Y 2.98-3.12
Mn: 0.5000 0.5000 0.7725  6 Y 3.05-3.28, 4 Hg 3.34
Y: 0.0000 0.0000 0.9546  1 Hg 2.98, 4 Mn 3.05
Y: 0.5000 0.5000 0.2810  4 Hg 3.12, 2 Mn 3.17-3.28

Results
The value obtained for the raw total energy is -5.562 eV/atom.


14.
Density functional theory data (PBE) for crystalline YMnHg at its relaxed geometry.

a b c (Å): 7.2381 4.2077 9.6065
angles (deg): 90.00 110.12 90.00
With the nearest neighbours (Å) after each atom.
Fractional coordinates of all 12 atoms:
Y: 0.2559 0.0000 0.9604  6 Hg 3.17-3.33, 3 Mn 3.18-3.19
Y: 0.2559 0.5000 0.4604  6 Hg 3.17-3.33, 3 Mn 3.18-3.19
Y: 0.7144 0.0000 0.6972  3 Mn 2.77-2.93
Y: 0.7144 0.5000 0.1972  3 Mn 2.77-2.93
Mn: 0.7040 0.0000 0.9830  3 Hg 2.69-2.75, 2 Mn 2.69, 3 Y 2.77-2.93
Mn: 0.7040 0.5000 0.4830  3 Hg 2.69-2.75, 2 Mn 2.69, 3 Y 2.77-2.93
Mn: 0.9255 0.0000 0.4630  2 Mn 2.69, 2 Hg 2.91-2.99
Mn: 0.9255 0.5000 0.9630  2 Mn 2.69, 2 Hg 2.91-2.99
Hg: 0.0519 0.0000 0.2064  2 Mn 2.69-2.91, 1 Hg 2.96
Hg: 0.0519 0.5000 0.7064  2 Mn 2.69-2.91, 1 Hg 2.96
Hg: 0.4866 0.0000 0.3260  3 Mn 2.75-2.99, 1 Hg 2.96
Hg: 0.4866 0.5000 0.8260  3 Mn 2.75-2.99, 1 Hg 2.96

Results
The value obtained for the raw total energy is -5.300 eV/atom.